# 1
DFT (PBE-GGA) results for a geometry-optimized ReIr3S structure.

a = 4.3773 Å, b = 4.3773 Å, c = 4.3773 Å
α = 90.00°, β = 90.00°, γ = 90.00°
Each line ends with the local moment (μB).
Sites, in units of the cell vectors:
Re  0.5000  0.5000  0.5000  2.14
S  0.0000  0.0000  0.0000  0.03
Ir  0.0000  0.5000  0.0000  0.50
Ir  0.0000  0.0000  0.5000  0.34
Ir  0.5000  0.0000  0.0000  0.53

Properties
Distance to the lowest polymorph of the same formula = 0.00 eV/f.u.
Space-group type = Pm-3m, No. 221
DFT total energy = -7.324 eV per atom
Raw formation energy = 126 kJ per mole of atoms
Crystal system = cubic

---

# 2
DFT (PBE-GGA) results for a geometry-optimized ZrRe2IrS structure.

a = 4.8141 Å, b = 4.6514 Å, c = 4.8141 Å
α = 90.00°, β = 90.00°, γ = 90.00°
Each line ends with the local moment (μB).
Sites, in units of the cell vectors:
Re  0.0000  0.0000  0.5000  0.78
Re  0.5000  0.0000  0.0000  0.92
S  0.0000  0.5000  0.0000  0.08
Ir  0.5000  0.5000  0.5000  0.08
Zr  0.0000  0.0000  0.0000  -0.05

Properties
Space-group type = P4/mmm, No. 123
DFT total energy = -6.878 eV per atom
Raw formation energy = 232 kJ per mole of atoms
Crystal system = tetragonal

---

# 3
DFT (PBE-GGA) results for a geometry-optimized ReSb4Ir structure.

a = 5.8750 Å, b = 5.8750 Å, c = 5.8750 Å
α = 60.00°, β = 60.00°, γ = 60.00°
Each line ends with the local moment (μB).
Sites, in units of the cell vectors:
Re  0.0000  0.0000  0.0000  2.19
Sb  0.8747  0.3751  0.3751  -0.03
Sb  0.3751  0.3751  0.8747  -0.03
Sb  0.3751  0.8747  0.3751  -0.03
Sb  0.3751  0.3751  0.3751  -0.03
Ir  0.7500  0.7500  0.7500  -0.26

Properties
Space-group type = F-43m, No. 216
DFT total energy = -4.724 eV per atom
Raw formation energy = 152 kJ per mole of atoms
Crystal system = cubic

---

Q: Which formula does entry 3 have?
A: ReSb4Ir

---

Copy entry 3 word for word.
DFT (PBE-GGA) results for a geometry-optimized ReSb4Ir structure.

a = 5.8750 Å, b = 5.8750 Å, c = 5.8750 Å
α = 60.00°, β = 60.00°, γ = 60.00°
Each line ends with the local moment (μB).
Sites, in units of the cell vectors:
Re  0.0000  0.0000  0.0000  2.19
Sb  0.8747  0.3751  0.3751  -0.03
Sb  0.3751  0.3751  0.8747  -0.03
Sb  0.3751  0.8747  0.3751  -0.03
Sb  0.3751  0.3751  0.3751  -0.03
Ir  0.7500  0.7500  0.7500  -0.26

Properties
Space-group type = F-43m, No. 216
DFT total energy = -4.724 eV per atom
Raw formation energy = 152 kJ per mole of atoms
Crystal system = cubic

---

Q: Number 3 is which compound?
A: ReSb4Ir

---

Q: Which value of raw formation energy does entry 2 give?
A: 232 kJ per mole of atoms